[1]
Below is a relaxed structure of FeTc2Ni, with properties calculated at the GGA-PBE level.

For the formation enthalpy at 0 K, the calculation gives 0.028 eV/atom. As for the energy above the lowest structure with this stoichiometry: 49 meV/atom.

The structure belongs to space group I-4m2 (No. 119); the cell edges are 3.736, 3.736 and 7.404 Å and the angles 90.00°, 90.00° and 90.00°. The inequivalent atoms are Fe at (0.000, 0.000, 0.000), Tc at (0.000, 0.000, 0.500), Tc at (0.000, 0.500, 0.250) and Ni at (0.000, 0.500, 0.750).

---

[2]
Below is a relaxed structure of PdPt2Se4, with properties calculated at the GGA-PBE level.

The formation energy without anion corrections is -2.491 eV per formula unit.

The structure belongs to space group Fd-3m (No. 227, origin choice 2); the cell edges are 10.651, 10.651 and 10.651 Å and the angles 90.00°, 90.00° and 90.00°. The inequivalent atoms are Pd at (0.125, 0.125, 0.125), Pt at (0.000, 0.000, 0.500) and Se at (0.011, 0.011, 0.739).

---

[3]
Below is a relaxed structure of InRuCl2, with properties calculated at the GGA-PBE level.

The formation energy without anion corrections is 1.536 eV per formula unit. As for the energy above the lowest structure with this stoichiometry: 624 meV/atom.

The structure belongs to space group I-4m2 (No. 119); the cell edges are 4.051, 4.051 and 10.846 Å and the angles 90.00°, 90.00° and 90.00°. The inequivalent atoms are In at (0.000, 0.000, 0.000), Ru at (0.000, 0.500, 0.750), Cl at (0.000, 0.000, 0.500) and Cl at (0.000, 0.500, 0.250).

---

[4]
Below is a relaxed structure of CsKBa2Na, with properties calculated at the GGA-PBE level.

For the formation enthalpy at 0 K, the calculation gives 0.214 eV/atom.

The structure belongs to space group P4/mmm (No. 123); the cell edges are 7.267, 7.267 and 7.287 Å and the angles 90.00°, 90.00° and 90.00°. The inequivalent atoms are Cs at (0.000, 0.000, 0.000), K at (0.500, 0.500, 0.000), Ba at (0.000, 0.500, 0.500) and Na at (0.500, 0.500, 0.500).

---

[5]
Below is a relaxed structure of AcSmIO6, with properties calculated at the GGA-PBE level.

The formation energy without anion corrections is -17.418 eV per formula unit.

The structure belongs to space group P-31c (No. 163); the cell edges are 5.9668, 5.9668 and 9.3140 Å and the angles 90.00°, 90.00° and 120.00°. The inequivalent atoms are Ac at (0.3333, 0.6667, 0.2500), Sm at (0.0000, 0.0000, 0.0000), I at (0.3333, 0.6667, 0.7500) and O at (0.0624, 0.3722, 0.6297).

---

[6]
Below is a relaxed structure of PmEu2Lu, with properties calculated at the GGA-PBE level.

For the formation enthalpy at 0 K, the calculation gives 0.163 eV/atom. As for the energy above the lowest structure with this stoichiometry: 47 meV/atom.

The structure belongs to space group Fm-3m (No. 225); the cell edges are 8.284, 8.284 and 8.284 Å and the angles 90.00°, 90.00° and 90.00°. The inequivalent atoms are Pm at (0.000, 0.000, 0.000), Eu at (0.250, 0.250, 0.250) and Lu at (0.000, 0.000, 0.500).

---

[7]
Below is a relaxed structure of SrAlTc2, with properties calculated at the GGA-PBE level.

For the formation enthalpy at 0 K, the calculation gives 0.310 eV/atom.

The structure belongs to space group C2/m (No. 12); the cell edges are 9.020, 3.773 and 5.733 Å and the angles 90.00°, 103.90° and 90.00°. The inequivalent atoms are Sr at (0.000, 0.000, 0.000), Al at (0.000, 0.500, 0.500) and Tc at (0.242, 0.000, 0.617).

---

[8]
Below is a relaxed structure of KP2Se, with properties calculated at the GGA-PBE level.

The formation energy without anion corrections is -0.539 eV per formula unit.

The structure belongs to space group R3m (No. 160, hexagonal axes); the cell edges are 3.6125, 3.6125 and 23.5107 Å and the angles 90.00°, 90.00° and 120.00°. The inequivalent atoms are K at (0.0000, 0.0000, 0.0000), P at (0.0000, 0.0000, 0.2247), P at (0.0000, 0.0000, 0.5083) and Se at (0.0000, 0.0000, 0.7729).

---

Respective volume values: 12.92, 21.57, 22.25, 76.95, 15.95, 35.52, 23.68, 22.14 Å³/atom.
Respective M_tot values: 4.55, 0.00, 5.78, 0.00, 0.00, 57.33, 0.00, 0.00 μB per cell.